VASP calculation (GGA-PBE) on SrHo3Pt after structural relaxation.

extended XYZ file:
```
5
Lattice="5.545 0.000 0.000 0.000 5.545 0.000 0.000 0.000 5.545" Properties=species:S:1:pos:R:3 pbc="T T T"
Sr 0.000 0.000 0.000
Ho 0.000 2.773 2.773
Ho 2.773 0.000 2.773
Ho 2.773 2.773 0.000
Pt 2.773 2.773 2.773
```

Magnetization = 0.000 μB/atom
Space-group type = Pm-3m (221)
Electronic total energy = -4.695 eV/atom


VASP calculation (GGA-PBE) on FeCo2P after structural relaxation.

extended XYZ file:
```
4
Lattice="3.846 -1.312 0.000 3.846 1.312 0.000 -0.781 0.000 4.356" Properties=species:S:1:pos:R:3 pbc="T T T"
Fe 0.000 0.000 0.000
Co 1.290 0.000 3.211
Co 5.621 0.000 1.145
P 3.455 0.000 2.178
```

Magnetization = 1.127 μB/atom
Space-group type = C2/m (12)
Electronic total energy = -7.118 eV/atom


VASP calculation (GGA-PBE) on NdSc3As2 after structural relaxation.

extended XYZ file:
```
12
Lattice="7.705 -1.984 0.000 7.705 1.984 0.000 -3.763 0.000 9.425" Properties=species:S:1:pos:R:3 pbc="T T T"
Nd 1.783 0.000 0.326
Nd 9.864 0.000 9.099
Sc -0.584 0.000 3.712
Sc 2.035 0.000 5.911
Sc 4.666 0.000 2.990
Sc 6.981 0.000 6.435
Sc 9.613 0.000 3.514
Sc 12.231 0.000 5.713
As 0.320 0.000 7.881
As 4.334 0.000 7.641
As 7.313 0.000 1.784
As 11.327 0.000 1.544
```

Magnetization = 0.125 μB/atom
Space-group type = C2/m (12)
Electronic total energy = -6.382 eV/atom


VASP calculation (GGA-PBE) on LiTbPu2Te5 after structural relaxation.

extended XYZ file:
```
18
Lattice="2.183 -9.305 0.000 2.183 9.305 0.000 0.000 0.000 13.154" Properties=species:S:1:pos:R:3 pbc="T T T"
Li 2.183 8.260 6.577
Li 2.183 -8.260 0.000
Tb 2.183 3.729 0.639
Tb 2.183 -3.729 7.216
Pu 2.183 2.350 4.516
Pu 2.183 1.986 9.487
Pu 2.183 -1.986 2.910
Pu 2.183 -2.350 11.092
Te 2.183 9.238 10.747
Te 2.183 6.796 0.525
Te 2.183 5.826 5.055
Te 2.183 5.294 9.369
Te 2.183 0.880 1.494
Te 2.183 -0.880 8.071
Te 2.183 -5.294 2.792
Te 2.183 -5.826 11.631
Te 2.183 -6.796 7.102
Te 2.183 -9.238 4.170
```

Magnetization = 0.005 μB/atom
Space-group type = Cmc2_1 (36)
Electronic total energy = -6.696 eV/atom


VASP calculation (GGA-PBE) on Ac3SmRh3 after structural relaxation.

extended XYZ file:
```
7
Lattice="4.943 2.854 2.280 -4.943 2.854 2.280 0.000 -5.707 2.280" Properties=species:S:1:pos:R:3 pbc="T T T"
Ac -2.101 -1.213 2.280
Ac 2.101 -1.213 2.280
Ac 0.000 2.426 2.280
Sm 0.000 0.000 6.230
Rh -2.513 -1.451 5.372
Rh 2.513 -1.451 5.372
Rh 0.000 2.901 5.372
```

Magnetization = 0.000 μB/atom
Space-group type = R3m (160)
Offset from the most stable computed form = 100.1 meV/atom
Electronic total energy = -6.102 eV/atom


VASP calculation (GGA-PBE) on Ce4SiAs2S after structural relaxation.

extended XYZ file:
```
8
Lattice="7.209 0.000 0.000 0.000 4.172 0.000 -2.412 0.000 6.811" Properties=species:S:1:pos:R:3 pbc="T T T"
Ce 1.191 0.000 1.666
Ce -0.018 2.086 5.137
Ce 4.815 2.086 1.675
Ce 3.605 0.000 5.145
Si 3.604 0.000 0.000
As -1.206 0.000 3.406
As 2.398 2.086 3.406
S 0.000 2.086 0.000
```

Magnetization = 0.330 μB/atom
Space-group type = P2/m (10)
Electronic total energy = -6.680 eV/atom


VASP calculation (GGA-PBE) on YMg5Ag6 after structural relaxation.

extended XYZ file:
```
12
Lattice="4.796 0.000 0.000 0.000 6.869 0.000 -2.324 0.000 7.160" Properties=species:S:1:pos:R:3 pbc="T T T"
Y 0.000 0.000 0.000
Mg 0.000 3.434 0.000
Mg 0.038 0.000 4.737
Mg 0.027 3.434 4.835
Mg 2.445 3.434 2.325
Mg 2.434 0.000 2.424
Ag 0.054 1.805 2.472
Ag 0.054 5.064 2.472
Ag 2.398 1.823 0.000
Ag 2.398 5.046 0.000
Ag 2.418 1.805 4.688
Ag 2.418 5.064 4.688
```

Magnetization = 0.000 μB/atom
Space-group type = P2/m (10)
Electronic total energy = -2.868 eV/atom


VASP calculation (GGA-PBE) on Li3In4Ga after structural relaxation.

extended XYZ file:
```
8
Lattice="10.831 -2.128 0.000 10.831 2.128 0.000 -0.723 0.000 3.951" Properties=species:S:1:pos:R:3 pbc="T T T"
Li 0.000 0.000 0.000
Li 2.240 0.000 2.443
Li 18.699 0.000 1.508
In 5.359 0.000 3.053
In 8.200 0.000 3.608
In 12.738 0.000 0.343
In 15.580 0.000 0.898
Ga 10.469 0.000 1.976
```

Magnetization = 0.000 μB/atom
Space-group type = C2/m (12)
Offset from the most stable computed form = 13.7 meV/atom
Electronic total energy = -2.588 eV/atom